! GGA-PBE Mg2TlGaCu, optimized geometry; values from VASP
&SYSTEM
  ibrav = 0, nat = 5, ntyp = 4
/
ATOMIC_SPECIES
Tl 204.38 Tl.upf
Cu 63.55 Cu.upf
Ga 69.72 Ga.upf
Mg 24.30 Mg.upf
ATOMIC_POSITIONS crystal
Tl 0.5000 0.5000 0.5000
Cu 0.0000 0.0000 0.0000
Ga 0.0000 0.0000 0.5000
Mg 0.5000 0.0000 0.0000
Mg 0.0000 0.5000 0.0000
CELL_PARAMETERS angstrom
5.0077 0.0000 0.0000
0.0000 5.0077 0.0000
0.0000 0.0000 4.5926
! * E_form: 0.0398 eV/atom
! * magnetization: 0.00 Bohr magnetons per cell
! * DOS at the Fermi energy: 2.4 states/eV/f.u.